La2SmYTl2 | PBE-GGA | relaxed

Computed properties:
Its density is 8.2 g/cm³. For the volume, the calculation gives 374.2 Å³/cell. The total energy comes out at -4.595 eV/atom. The calculation puts the formation enthalpy at 0 K at -300 meV per atom.

```
data_La2SmYTl2
_cell_length_a 5.1730
_cell_length_b 10.3489
_cell_length_c 6.9889
_cell_angle_alpha 90.00
_cell_angle_beta 90.00
_cell_angle_gamma 90.00
_space_group_name_H-M_alt 'P m c 21'
_space_group_IT_number 26
_space_group_name_Hall 'P 2c -2'
loop_
_atom_site_label
_atom_site_type_symbol
_atom_site_fract_x
_atom_site_fract_y
_atom_site_fract_z
La1 La 0.0000 0.0614 0.0000
La2 La 0.5000 0.1762 0.2251
Sm1 Sm 0.5000 0.4564 0.8712
Y1 Y 0.0000 0.3063 0.5823
Tl1 Tl 0.0000 0.3870 0.1332
Tl2 Tl 0.5000 0.1483 0.7089
```